[1]
CsGaSbAu | the Alexandria database | PBE-GGA | optimized geometry; SG = P4/nmm (129); E_tot = -2.998 eV per atom; raw formation energy = -0.18 eV per atom; total magnetization = 0.0 μB/f.u.; DOS at the Fermi energy = 2.4 states/eV per cell
1.0
4.444 0.000 0.000
0.000 4.444 0.000
0.000 0.000 14.041
Cs Ga Sb Au
2 2 2 2
Direct
0.250 0.250 0.201 Cs
0.750 0.750 0.799 Cs
0.250 0.750 0.500 Ga
0.750 0.250 0.500 Ga
0.250 0.250 0.618 Sb
0.750 0.750 0.382 Sb
0.250 0.750 0.000 Au
0.750 0.250 0.000 Au


[2]
K2ZnGa4Sn3 | the Alexandria database | PBE-GGA | optimized geometry; SG = P-4m2 (115); E_tot = -2.898 eV per atom; total magnetization = 0.0 μB/f.u.; DOS at the Fermi energy = 2.8 states/eV per cell; E_form = -0.14 eV per atom
1.0
4.790 0.000 0.000
0.000 4.790 0.000
0.000 0.000 11.482
K Zn Ga Sn
2 1 4 3
Direct
0.000 0.500 0.249 K
0.500 0.000 0.751 K
0.500 0.500 0.000 Zn
0.000 0.000 0.500 Ga
0.000 0.500 0.874 Ga
0.500 0.000 0.126 Ga
0.500 0.500 0.500 Ga
0.000 0.000 0.000 Sn
0.000 0.500 0.633 Sn
0.500 0.000 0.367 Sn


[3]
AuBrNF2 | the Alexandria database | PBE-GGA | optimized geometry; SG = P4/mmm (123); relative energy among the computed polymorphs = 0.00 eV/f.u.; E_tot = -2.896 eV per atom; raw formation energy = 0.51 eV per atom; total magnetization = 1.0 μB/f.u.; DOS at the Fermi energy = 4.6 states/eV per cell
1.0
4.325 0.000 0.000
0.000 4.325 0.000
0.000 0.000 4.213
Au Br N F
1 1 1 2
Direct
0.000 0.000 0.000 Au
0.500 0.500 0.500 Br
0.000 0.000 0.500 N
0.000 0.500 0.000 F
0.500 0.000 0.000 F


[4]
BeBiPtPb2 | the Alexandria database | PBE-GGA | optimized geometry; SG = P4/mmm (123); relative energy among the computed polymorphs = 0.00 eV/f.u.; E_tot = -3.987 eV per atom; total magnetization = 0.0 μB/f.u.; DOS at the Fermi energy = 3.0 states/eV per cell; E_form = 0.23 eV per atom
1.0
5.333 0.000 0.000
0.000 5.333 0.000
0.000 0.000 4.320
Be Bi Pt Pb
1 1 1 2
Direct
0.000 0.000 0.000 Be
0.500 0.500 0.500 Bi
0.000 0.000 0.500 Pt
0.000 0.500 0.000 Pb
0.500 0.000 0.000 Pb


[5]
LuHf2Th | the Alexandria database | PBE-GGA | optimized geometry; SG = P4/mmm (123); relative energy among the computed polymorphs = 0.00 eV/f.u.; E_tot = -7.836 eV per atom; total magnetization = 0.0 μB/f.u.; DOS at the Fermi energy = 4.7 states/eV per cell; E_form = 0.13 eV per atom
1.0
4.729 0.000 0.000
0.000 4.729 0.000
0.000 0.000 4.652
Lu Hf Th
1 2 1
Direct
0.000 0.000 0.000 Lu
0.000 0.500 0.500 Hf
0.500 0.000 0.500 Hf
0.500 0.500 0.000 Th


[6]
Dy8Hg2Pt | the Alexandria database | PBE-GGA | optimized geometry; SG = Immm (71); relative energy among the computed polymorphs = 1.30 eV/f.u.; E_tot = -4.225 eV per atom; total magnetization = 0.0 μB/f.u.; DOS at the Fermi energy = 12.3 states/eV per cell; E_form = -0.27 eV per atom
1.0
-2.489 4.210 7.170
2.489 -4.210 7.170
2.489 4.210 -7.170
Dy Hg Pt
8 2 1
Direct
0.117 0.343 0.774 Dy
0.122 0.122 0.000 Dy
0.322 0.000 0.322 Dy
0.432 0.657 0.774 Dy
0.568 0.343 0.226 Dy
0.678 0.000 0.678 Dy
0.878 0.878 0.000 Dy
0.883 0.657 0.226 Dy
0.300 0.800 0.500 Hg
0.700 0.200 0.500 Hg
0.000 0.500 0.500 Pt


[7]
Pm2SiP | the Alexandria database | PBE-GGA | optimized geometry; SG = P4/mmm (123); relative energy among the computed polymorphs = 1.70 eV/f.u.; E_tot = -5.827 eV per atom; raw formation energy = -0.74 eV per atom; total magnetization = 0.0 μB/f.u.; DOS at the Fermi energy = 2.0 states/eV per cell
1.0
3.507 0.000 0.000
0.000 3.507 0.000
0.000 0.000 7.528
Pm Si P
2 1 1
Direct
0.000 0.000 0.230 Pm
0.000 0.000 0.770 Pm
0.500 0.500 0.500 Si
0.500 0.500 0.000 P


[8]
BaIn3Au2 | the Alexandria database | PBE-GGA | optimized geometry; SG = C2/m (12); relative energy among the computed polymorphs = 0.17 eV/f.u.; E_tot = -3.227 eV per atom; total magnetization = 0.0 μB/f.u.; DOS at the Fermi energy = 5.0 states/eV per cell; E_form = -0.44 eV per atom
1.0
8.656 -2.331 0.000
8.656 2.331 0.000
-3.838 0.000 8.185
Ba In Au
2 6 4
Direct
0.142 0.142 0.089 Ba
0.858 0.858 0.911 Ba
0.019 0.019 0.354 In
0.326 0.326 0.558 In
0.369 0.369 0.242 In
0.631 0.631 0.758 In
0.674 0.674 0.442 In
0.981 0.981 0.646 In
0.183 0.183 0.646 Au
0.488 0.488 0.836 Au
0.512 0.512 0.164 Au
0.817 0.817 0.354 Au


- Which value of DOS at the Fermi energy does entry 6 give?
  12.3 states/eV per cell


- Which of these has the highest DOS at the Fermi energy?
  Dy8Hg2Pt


Copy entry 7 word for word.
Pm2SiP | the Alexandria database | PBE-GGA | optimized geometry; SG = P4/mmm (123); relative energy among the computed polymorphs = 1.70 eV/f.u.; E_tot = -5.827 eV per atom; raw formation energy = -0.74 eV per atom; total magnetization = 0.0 μB/f.u.; DOS at the Fermi energy = 2.0 states/eV per cell
1.0
3.507 0.000 0.000
0.000 3.507 0.000
0.000 0.000 7.528
Pm Si P
2 1 1
Direct
0.000 0.000 0.230 Pm
0.000 0.000 0.770 Pm
0.500 0.500 0.500 Si
0.500 0.500 0.000 P